--- i ---
Entry from the Alexandria database: a crystal of SbTe2N2 relaxed with PBEsol (SCAN).

Results
Total moment = 0.00 Bohr magnetons per cell
Fermi-level density of states = 3.303 states/eV/f.u.

The structure in POSCAR format:
```
SbTe2N2
1.0
4.170 0.000 0.000
0.000 4.170 0.000
0.000 0.000 5.788
Sb Te N
1 2 2
direct
0.000 0.000 0.000
0.500 0.500 0.000
0.500 0.500 0.500
0.000 0.500 0.500
0.500 0.000 0.500
```

--- ii ---
Entry from the Alexandria database: a crystal of SbTe2N2 relaxed with PBEsol (SCAN).

Results
Total moment = 1.48 Bohr magnetons per cell
Fermi-level density of states = 2.036 states/eV/f.u.

The structure in POSCAR format:
```
SbTe2N2
1.0
4.641 0.000 0.000
0.000 4.641 0.000
0.000 0.000 4.191
Sb Te N
1 2 2
direct
0.000 0.000 0.000
0.000 0.500 0.500
0.500 0.000 0.500
0.500 0.500 0.000
0.500 0.500 0.500
```

Energy relative to the most stable one, in kJ/mol of atoms: i 0.0; ii 3.1

--- i ---
Entry from the Alexandria database: a crystal of Y2SbN relaxed with PBEsol (SCAN).

Results
Total moment = 0.00 Bohr magnetons per cell

The structure in POSCAR format:
```
Y2SbN
1.0
-3.433 3.433 3.866
3.433 -3.433 3.866
3.433 3.433 -3.866
Y Sb N
4 2 2
direct
0.030 0.125 0.405
0.375 0.970 0.095
0.720 0.625 0.595
0.875 0.280 0.905
0.250 0.750 0.500
0.500 0.500 0.000
0.000 0.000 0.000
0.750 0.250 0.500
```

--- ii ---
Entry from the Alexandria database: a crystal of Y2SbN relaxed with PBEsol (SCAN).

Results
Total moment = 0.00 Bohr magnetons per cell
Fermi-level density of states = 1.465 states/eV/f.u.

The structure in POSCAR format:
```
Y2SbN
1.0
0.000 3.470 3.470
3.470 0.000 3.470
3.470 3.470 0.000
Y Sb N
2 1 1
direct
0.250 0.250 0.250
0.750 0.750 0.750
0.000 0.000 0.000
0.500 0.500 0.500
```

Energy relative to the most stable one, in kJ/mol of atoms: i 0.0; ii 107.7

--- i ---
Entry from the Alexandria database: a crystal of Sc2SeN relaxed with PBEsol (SCAN).

Results
Total moment = 0.00 Bohr magnetons per cell
Fermi-level density of states = 2.104 states/eV/f.u.

The structure in POSCAR format:
```
Sc2SeN
1.0
-2.798 2.798 4.878
2.798 -2.798 4.878
2.798 2.798 -4.878
Sc Se N
4 2 2
direct
0.044 0.625 0.919
0.375 0.294 0.419
0.706 0.125 0.081
0.875 0.956 0.581
0.250 0.750 0.500
0.500 0.500 0.000
0.000 0.000 0.000
0.750 0.250 0.500
```

--- ii ---
Entry from the Alexandria database: a crystal of Sc2SeN relaxed with PBEsol (SCAN).

Results
Total moment = 0.91 Bohr magnetons per cell
Fermi-level density of states = 2.436 states/eV/f.u.

The structure in POSCAR format:
```
Sc2SeN
1.0
0.000 3.092 3.092
3.092 0.000 3.092
3.092 3.092 0.000
Sc Se N
2 1 1
direct
0.250 0.250 0.250
0.750 0.750 0.750
0.000 0.000 0.000
0.500 0.500 0.500
```

Energy relative to the most stable one, in kJ/mol of atoms: i 0.0; ii 80.1